Model a:
Material: HgBiPd2
Method: DFT, PBE-GGA
State: relaxed

Cell and atoms, written as POSCAR:
```
HgBiPd2
1.0
3.394 0.000 0.000
0.000 3.394 0.000
0.000 0.000 6.882
Pd Bi Hg
2 1 1
Direct
0.000 0.000 0.234 Pd
0.000 0.000 0.766 Pd
0.500 0.500 0.500 Bi
0.500 0.500 0.000 Hg
```

Calculated values
- SG: No. 123

=====

Model b:
Material: HgBiPd2
Method: DFT, PBE-GGA
State: relaxed

Cell and atoms, written as POSCAR:
```
HgBiPd2
1.0
3.388 0.000 0.000
1.694 2.934 0.000
1.694 0.978 8.420
Pd Hg Bi
2 1 1
Direct
0.084 0.084 0.747 Pd
0.249 0.249 0.253 Pd
0.500 0.500 0.501 Hg
0.667 0.667 0.999 Bi
```

Calculated values
- SG: No. 160

=====

Most stable of them? model a.

=====

Model a:
Material: HgBi2Pd2
Method: DFT, PBE-GGA
State: relaxed

Cell and atoms, written as POSCAR:
```
HgBi2Pd2
1.0
-1.540 -4.162 6.023
7.262 -0.089 1.795
-0.500 3.352 2.188
Bi Hg Pd
4 2 4
Direct
0.340 0.160 0.500 Bi
0.660 0.840 0.500 Bi
0.840 0.340 0.500 Bi
0.160 0.660 0.500 Bi
0.000 0.000 0.000 Hg
0.500 0.500 0.000 Hg
0.637 0.137 0.000 Pd
0.863 0.637 0.000 Pd
0.363 0.863 0.000 Pd
0.137 0.363 0.000 Pd
```

Calculated values
- SG: No. 127

=====

Model b:
Material: HgBi2Pd2
Method: DFT, PBE-GGA
State: relaxed

Cell and atoms, written as POSCAR:
```
HgBi2Pd2
1.0
-1.118 -3.273 -2.063
3.763 -0.419 -1.374
3.053 -6.275 4.369
Bi Pd Hg
2 2 1
Direct
0.624 0.624 0.752 Bi
0.376 0.376 0.248 Bi
0.250 0.750 0.500 Pd
0.750 0.250 0.500 Pd
0.000 0.000 0.000 Hg
```

Calculated values
- SG: No. 139

=====

Model c:
Material: HgBi2Pd2
Method: DFT, PBE-GGA
State: relaxed

Cell and atoms, written as POSCAR:
```
HgBi2Pd2
1.0
-6.460 -3.334 4.194
5.319 -3.199 5.649
-0.257 2.785 1.819
Pd Bi Hg
4 4 2
Direct
0.875 0.375 0.500 Pd
0.625 0.875 0.500 Pd
0.125 0.625 0.500 Pd
0.375 0.125 0.500 Pd
0.162 0.338 0.000 Bi
0.338 0.838 0.000 Bi
0.662 0.162 0.000 Bi
0.838 0.662 0.000 Bi
0.000 0.000 0.000 Hg
0.500 0.500 0.000 Hg
```

Calculated values
- SG: No. 127

=====

Model d:
Material: HgBi2Pd2
Method: DFT, PBE-GGA
State: relaxed

Cell and atoms, written as POSCAR:
```
HgBi2Pd2
1.0
-2.510 -4.186 -0.425
2.494 -1.879 3.776
-3.746 -1.138 5.086
Bi Hg Pd
2 1 2
Direct
0.750 0.250 0.500 Bi
0.250 0.750 0.500 Bi
0.000 0.000 0.000 Hg
0.376 0.376 0.247 Pd
0.624 0.624 0.753 Pd
```

Calculated values
- SG: No. 139

=====

Most stable of them? model a.

=====

Model a:
Material: HgBi2Pd2
Method: DFT, PBE-GGA
State: relaxed

Cell and atoms, written as POSCAR:
```
HgBi2Pd2
1.0
3.362 0.000 0.000
-1.681 7.219 0.000
0.000 0.000 9.809
Bi Pd Hg
4 4 2
Direct
0.326 0.651 0.840 Bi
0.674 0.349 0.340 Bi
0.094 0.189 0.651 Bi
0.906 0.811 0.151 Bi
0.750 0.501 0.617 Pd
0.983 0.965 0.885 Pd
0.250 0.499 0.117 Pd
0.017 0.035 0.385 Pd
0.382 0.764 0.492 Hg
0.618 0.236 0.992 Hg
```

Calculated values
- SG: No. 36

=====

Model b:
Material: HgBi2Pd2
Method: DFT, PBE-GGA
State: relaxed

Cell and atoms, written as POSCAR:
```
HgBi2Pd2
1.0
4.690 0.013 -0.007
2.334 4.068 -0.007
0.011 0.006 6.191
Bi Hg Pd
2 1 2
Direct
0.167 0.667 0.326 Bi
0.833 0.333 0.674 Bi
0.500 0.000 0.000 Hg
0.167 0.667 0.841 Pd
0.833 0.333 0.159 Pd
```

Calculated values
- SG: No. 164

=====

Most stable of them? model a.

=====

Model a:
Material: HgBi2Pd7
Method: DFT, PBE-GGA
State: relaxed

Cell and atoms, written as POSCAR:
```
HgBi2Pd7
1.0
3.973 0.000 -0.765
-0.147 3.970 -0.765
0.286 0.296 12.191
Pd Bi Hg
7 2 1
Direct
0.587 0.087 0.174 Pd
0.750 0.250 0.500 Pd
0.250 0.750 0.500 Pd
0.413 0.913 0.826 Pd
0.087 0.587 0.174 Pd
0.913 0.413 0.826 Pd
0.500 0.500 0.000 Pd
0.333 0.333 0.666 Bi
0.667 0.667 0.334 Bi
0.000 0.000 0.000 Hg
```

Calculated values
- SG: No. 139

=====

Model b:
Material: HgBi2Pd7
Method: DFT, PBE-GGA
State: relaxed

Cell and atoms, written as POSCAR:
```
HgBi2Pd7
1.0
-0.185 -2.823 -1.228
-1.180 -3.522 8.272
-6.625 2.830 -5.506
Hg Pd Bi
1 7 2
Direct
0.000 0.000 0.000 Hg
0.500 0.868 0.685 Pd
0.500 0.132 0.315 Pd
0.500 0.685 0.868 Pd
0.000 0.820 0.180 Pd
0.000 0.180 0.820 Pd
0.500 0.315 0.132 Pd
0.500 0.500 0.500 Pd
0.500 0.321 0.679 Bi
0.500 0.679 0.321 Bi
```

Calculated values
- SG: No. 65

=====

Most stable of them? model a.